VASP calculation (GGA-PBE) on crystalline Dy2LuCu at its relaxed geometry.

Lattice parameters (Å, degrees): 3.535 3.535 10.059 79.88 79.88 60.00
Positions (direct):
Lu 0.500 0.500 0.500
Cu 0.000 0.000 0.000
Dy 0.737 0.737 0.790
Dy 0.263 0.263 0.210

- calculated density (Mg/m³) = 8.8
- polymorph energy (0 for the lowest one) (meV/atom) = 127
- uncorrected energy (eV/atom) = -4.4161
- V (Å³/cell) = 107
- DFT formation energy (meV per atom) = 39

VASP calculation (GGA-PBE) on crystalline DyLu2Cu at its relaxed geometry.

Lattice parameters (Å, degrees): 3.545 3.545 9.872 79.66 79.66 60.00
Positions (direct):
Lu 0.266 0.266 0.202
Lu 0.734 0.734 0.798
Cu 0.000 0.000 0.000
Dy 0.500 0.500 0.500

- calculated density (Mg/m³) = 9.1
- polymorph energy (0 for the lowest one) (meV/atom) = 135
- uncorrected energy (eV/atom) = -4.4194
- V (Å³/cell) = 105
- DFT formation energy (meV per atom) = 16

VASP calculation (GGA-PBE) on crystalline Dy2LuCu at its relaxed geometry.

Lattice parameters (Å, degrees): 3.470 3.470 8.586 90.00 90.00 90.00
Positions (direct):
Lu 0.500 0.500 0.500
Cu 0.500 0.500 0.000
Dy 0.000 0.000 0.798
Dy 0.000 0.000 0.202

- calculated density (Mg/m³) = 9.1
- polymorph energy (0 for the lowest one) (meV/atom) = 0
- uncorrected energy (eV/atom) = -4.5429
- V (Å³/cell) = 103
- DFT formation energy (meV per atom) = -88

VASP calculation (GGA-PBE) on crystalline DyLuMgCu at its relaxed geometry.

Lattice parameters (Å, degrees): 5.074 5.074 5.074 60.00 60.00 60.00
Positions (direct):
Mg 0.250 0.250 0.250
Lu 0.500 0.500 0.500
Cu 0.750 0.750 0.750
Dy 0.000 0.000 0.000

- calculated density (Mg/m³) = 7.6
- uncorrected energy (eV/atom) = -3.7697
- V (Å³/cell) = 92
- DFT formation energy (meV per atom) = -66

Please write out number 3 again, unchanged.
VASP calculation (GGA-PBE) on crystalline Dy2LuCu at its relaxed geometry.

Lattice parameters (Å, degrees): 3.470 3.470 8.586 90.00 90.00 90.00
Positions (direct):
Lu 0.500 0.500 0.500
Cu 0.500 0.500 0.000
Dy 0.000 0.000 0.798
Dy 0.000 0.000 0.202

- calculated density (Mg/m³) = 9.1
- polymorph energy (0 for the lowest one) (meV/atom) = 0
- uncorrected energy (eV/atom) = -4.5429
- V (Å³/cell) = 103
- DFT formation energy (meV per atom) = -88